(1)
The following is a PBE-GGA calculation of Tm4ScRu after structural relaxation, from Alexandria.

## Properties
calculated total energy: -5.75 eV/atom
ΔE_f: -163 meV/atom
density: 8.83 Mg/m³

Geometry as CIF:
```
data_Tm4ScRu
_space_group_name_H-M_alt 'P 4/m m m'
_space_group_IT_number 123
_space_group_name_Hall '-P 4 2'
_cell_length_a 3.4085
_cell_length_b 3.4085
_cell_length_c 13.3029
_cell_angle_alpha 90.00
_cell_angle_beta 90.00
_cell_angle_gamma 90.00
loop_
_atom_site_label
_atom_site_type_symbol
_atom_site_fract_x
_atom_site_fract_y
_atom_site_fract_z
Tm1 Tm 0.0000 0.0000 0.1210
Tm2 Tm 0.5000 0.5000 0.3269
Sc1 Sc 0.0000 0.0000 0.5000
Ru1 Ru 0.5000 0.5000 0.0000
```

=====

(2)
The following is a PBE-GGA calculation of Ba3Sr2Ca4 after structural relaxation, from Alexandria.

## Properties
calculated total energy: -1.87 eV/atom
ΔE_f: 31 meV/atom
density: 2.67 Mg/m³

Geometry as CIF:
```
data_Ba3Sr2Ca4
_space_group_name_H-M_alt 'C 1 2/m 1'
_space_group_IT_number 12
_cell_length_a 17.6936
_cell_length_b 5.8728
_cell_length_c 9.4411
_cell_angle_alpha 90.00
_cell_angle_beta 108.27
_cell_angle_gamma 90.00
loop_
_space_group_symop_operation_xyz
'x,y,z'
'-x,-y,-z'
'-x,y,-z'
'x,-y,z'
'x+1/2,y+1/2,z'
'-x+1/2,-y+1/2,-z'
'-x+1/2,y+1/2,-z'
'x+1/2,-y+1/2,z'
loop_
_atom_site_label
_atom_site_type_symbol
_atom_site_fract_x
_atom_site_fract_y
_atom_site_fract_z
Ba1 Ba 0.0000 0.0000 0.0000
Ba2 Ba 0.1128 0.0000 0.6588
Sr1 Sr 0.1672 0.5000 0.0018
Ca1 Ca 0.0623 0.5000 0.3390
Ca2 Ca 0.2207 0.0000 0.3392
```

=====

(3)
The following is a PBE-GGA calculation of CdPH after structural relaxation, from Alexandria.

## Properties
calculated total energy: -2.99 eV/atom
density: 4.56 Mg/m³

Geometry as CIF:
```
data_CdPH
_space_group_name_H-M_alt 'C 1 2 1'
_space_group_IT_number 5
_cell_length_a 2.7868
_cell_length_b 7.1289
_cell_length_c 5.3476
_cell_angle_alpha 90.00
_cell_angle_beta 98.22
_cell_angle_gamma 90.00
loop_
_space_group_symop_operation_xyz
'x,y,z'
'-x,y,-z'
'x+1/2,y+1/2,z'
'-x+1/2,y+1/2,-z'
loop_
_atom_site_label
_atom_site_type_symbol
_atom_site_fract_x
_atom_site_fract_y
_atom_site_fract_z
Cd1 Cd 0.0000 0.0000 0.0000
P1 P 0.0000 0.9900 0.5000
H1 H 0.0000 0.7889 0.5000
```